Below is a geometry-optimized Mg4BeNi structure, with properties calculated at the PBE-GGA level.

As for the mass density: 2.44 g/cm3. The calculated formation energy is 56.49 kJ per mole of atoms. The calculation puts the total moment at 0.00 μB/cell. The calculation puts the volume at 448.0 Å³ per cell.

It has space group F-43m (No. 216), with a = 7.6520 Å, b = 7.6520 Å, c = 7.6520 Å, α = 90.00°, β = 90.00° and γ = 90.00°. The asymmetric unit holds Mg at (0.1248, 0.1248, 0.1248), Be at (0.0000, 0.0000, 0.5000) and Ni at (0.2500, 0.2500, 0.7500).